1.
Below is crystalline La2BF at its relaxed geometry, with properties calculated at the GGA-PBE level.

SG ... No. 122
Energy ... -5.7232 eV/atom
Polymorph energy (0 for the lowest one) ... 0.0 meV/atom
Raw formation energy ... -1.122 eV per atom

Lattice parameters (Å, degrees): 5.582 5.582 7.618 68.51 68.51 90.00
Sites, in units of the cell vectors:
B 0.500 0.500 0.000
B 0.250 0.750 0.500
F 0.000 0.000 0.000
F 0.750 0.250 0.500
La 0.629 0.125 0.250
La 0.121 0.625 0.250
La 0.375 0.371 0.750
La 0.875 0.879 0.750

=====

2.
Below is crystalline Zr2ScIn at its relaxed geometry, with properties calculated at the GGA-PBE level.

SG ... No. 12
Energy of formation from the pure elements ... -0.153 eV per atom
Energy ... -6.6950 eV/atom

Lattice parameters (Å, degrees): 5.642 5.642 5.402 80.87 80.87 32.77
Sites, in units of the cell vectors:
In 0.750 0.750 0.750
Sc 0.250 0.250 0.250
Zr 0.010 0.010 0.995
Zr 0.490 0.490 0.505

=====

3.
Below is crystalline VPt3Cl at its relaxed geometry, with properties calculated at the GGA-PBE level.

SG ... No. 221
Energy ... -4.7845 eV/atom
Polymorph energy (0 for the lowest one) ... 101.3 meV/atom
Raw formation energy ... 1.033 eV per atom

Lattice parameters (Å, degrees): 4.538 4.538 4.538 90.00 90.00 90.00
Site moments in Bohr magnetons follow the coordinates.
Sites, in units of the cell vectors:
V 0.500 0.500 0.500  2.68
Pt 0.000 0.500 0.000  0.01
Pt 0.000 0.000 0.500  0.01
Pt 0.500 0.000 0.000  0.01
Cl 0.000 0.000 0.000  0.02

=====

4.
Below is crystalline SrScBe2 at its relaxed geometry, with properties calculated at the GGA-PBE level.

SG ... No. 10
Energy of formation from the pure elements ... 0.765 eV per atom
Energy ... -3.1011 eV/atom
Polymorph energy (0 for the lowest one) ... 565.4 meV/atom

Lattice parameters (Å, degrees): 3.336 6.866 5.810 43.43 90.00 90.00
Sites, in units of the cell vectors:
Sc 0.500 0.500 0.500
Sr 0.000 0.000 0.500
Be 0.000 0.000 0.000
Be 0.500 0.500 0.000

=====

5.
Below is crystalline BeNb2Al2 at its relaxed geometry, with properties calculated at the GGA-PBE level.

SG ... No. 127
Energy of formation from the pure elements ... 0.109 eV per atom
Energy ... -6.1614 eV/atom
Polymorph energy (0 for the lowest one) ... 104.8 meV/atom

Lattice parameters (Å, degrees): 6.406 6.406 4.138 90.00 90.00 90.00
Sites, in units of the cell vectors:
Be 0.000 0.000 0.000
Be 0.500 0.500 0.000
Nb 0.345 0.845 0.000
Nb 0.845 0.655 0.000
Nb 0.655 0.155 0.000
Nb 0.155 0.345 0.000
Al 0.151 0.651 0.500
Al 0.651 0.849 0.500
Al 0.849 0.349 0.500
Al 0.349 0.151 0.500

=====

6.
Below is crystalline Zr2ZnBr at its relaxed geometry, with properties calculated at the GGA-PBE level.

SG ... No. 122
Energy ... -4.5723 eV/atom
Polymorph energy (0 for the lowest one) ... 743.7 meV/atom
Raw formation energy ... 0.439 eV per atom

Lattice parameters (Å, degrees): 5.715 5.715 7.818 68.56 68.56 90.00
Sites, in units of the cell vectors:
Zn 0.500 0.500 0.000
Zn 0.250 0.750 0.500
Br 0.000 0.000 0.000
Br 0.750 0.250 0.500
Zr 0.600 0.125 0.250
Zr 0.150 0.625 0.250
Zr 0.375 0.400 0.750
Zr 0.875 0.850 0.750

=====

7.
Below is crystalline Dy2ReMoN6 at its relaxed geometry, with properties calculated at the GGA-PBE level.

SG ... No. 99
Energy ... -8.9550 eV/atom
Raw formation energy ... -0.711 eV per atom

Lattice parameters (Å, degrees): 4.675 5.402 5.402 90.00 90.00 90.00
Sites, in units of the cell vectors:
Dy 0.993 0.500 0.000
Dy 0.993 0.000 0.500
Re 0.589 0.000 0.000
Mo 0.587 0.500 0.500
N 0.717 0.247 0.247
N 0.717 0.247 0.753
N 0.207 0.500 0.500
N 0.212 0.000 0.000
N 0.717 0.753 0.753
N 0.717 0.753 0.247

=====

8.
Below is crystalline Ca2LaInNi at its relaxed geometry, with properties calculated at the GGA-PBE level.

SG ... No. 123
Energy of formation from the pure elements ... -0.110 eV per atom
Energy ... -3.5999 eV/atom
Polymorph energy (0 for the lowest one) ... 91.6 meV/atom

Lattice parameters (Å, degrees): 5.320 5.320 5.148 90.00 90.00 90.00
Sites, in units of the cell vectors:
Ni 0.000 0.000 0.000
Ca 0.000 0.500 0.000
Ca 0.500 0.000 0.000
In 0.000 0.000 0.500
La 0.500 0.500 0.500

=====

9.
Below is crystalline PPdCl2 at its relaxed geometry, with properties calculated at the GGA-PBE level.

SG ... No. 225
Energy ... -3.0095 eV/atom
Polymorph energy (0 for the lowest one) ... 309.5 meV/atom
Raw formation energy ... 0.565 eV per atom

Lattice parameters (Å, degrees): 4.617 4.617 4.617 60.00 60.00 60.00
Sites, in units of the cell vectors:
P 0.000 0.000 0.000
Pd 0.500 0.500 0.500
Cl 0.250 0.250 0.250
Cl 0.750 0.750 0.750

=====

10.
Below is crystalline MgAg4Pt at its relaxed geometry, with properties calculated at the GGA-PBE level.

SG ... No. 216
Energy of formation from the pure elements ... 0.050 eV per atom
Energy ... -3.1232 eV/atom

Lattice parameters (Å, degrees): 5.395 5.395 5.395 60.00 60.00 60.00
Sites, in units of the cell vectors:
Mg 0.750 0.750 0.750
Ag 0.875 0.375 0.375
Ag 0.375 0.375 0.875
Ag 0.375 0.875 0.375
Ag 0.375 0.375 0.375
Pt 0.000 0.000 0.000

=====

11.
Below is crystalline Mg2Si at its relaxed geometry, with properties calculated at the GGA-PBE level.

SG ... No. 140
Energy ... -2.8859 eV/atom
Raw formation energy ... -0.015 eV per atom

Lattice parameters (Å, degrees): 6.535 6.535 5.573 90.00 90.00 90.00
Sites, in units of the cell vectors:
Mg 0.667 0.167 0.000
Mg 0.667 0.833 0.500
Mg 0.333 0.167 0.500
Mg 0.333 0.833 0.000
Mg 0.833 0.333 0.500
Mg 0.833 0.667 0.000
Mg 0.167 0.333 0.000
Mg 0.167 0.667 0.500
Si 0.000 0.000 0.250
Si 0.000 0.000 0.750
Si 0.500 0.500 0.750
Si 0.500 0.500 0.250

=====

12.
Below is crystalline LiTc2Sb at its relaxed geometry, with properties calculated at the GGA-PBE level.

SG ... No. 65
Energy ... -6.0360 eV/atom
Raw formation energy ... 0.656 eV per atom

Lattice parameters (Å, degrees): 2.930 2.930 8.632 90.00 90.00 113.73
Sites, in units of the cell vectors:
Li 0.500 0.500 0.250
Sb 0.500 0.500 0.750
Tc 0.000 0.000 0.993
Tc 0.000 0.000 0.507